# 1
# PrZnAg (PBE-GGA, optimized geometry)
# Total moment in μB per cell: 0.01
# Total energy in eV per formula unit: -9.83
data_PrZnAg
_chemical_formula_sum 'Pr2 Zn2 Ag2'
_cell_length_a 5.8764
_cell_length_b 5.8764
_cell_length_c 7.1462
_cell_angle_alpha 126.78
_cell_angle_beta 126.78
_cell_angle_gamma 47.68
_space_group_name_H-M_alt 'P 1'
_space_group_IT_number 1
_space_group_name_Hall 'P 1'
loop_
_atom_site_label
_atom_site_fract_x
_atom_site_fract_y
_atom_site_fract_z
Pr1 0.0298 0.0298 0.2822
Pr2 0.9702 0.9702 0.7178
Zn1 0.3383 0.3383 0.8788
Zn2 0.6617 0.6617 0.1212
Ag1 0.3279 0.3279 0.2868
Ag2 0.6721 0.6721 0.7132

---

# 2
# NaCoCuTeS2 (PBE-GGA, optimized geometry)
# Total moment in μB per cell: 0.01
# Total energy in eV per formula unit: -25.65
data_NaCoCuTeS2
_chemical_formula_sum 'Na2 Co2 Cu2 Te2 S4'
_cell_length_a 7.2538
_cell_length_b 7.2538
_cell_length_c 9.6065
_cell_angle_alpha 90.00
_cell_angle_beta 90.00
_cell_angle_gamma 152.59
_space_group_name_H-M_alt 'P 1'
_space_group_IT_number 1
_space_group_name_Hall 'P 1'
loop_
_atom_site_label
_atom_site_fract_x
_atom_site_fract_y
_atom_site_fract_z
Na1 0.2272 0.7728 0.7500
Na2 0.7728 0.2272 0.2500
Co1 0.0000 0.0000 0.0000
Co2 0.0000 0.0000 0.5000
Cu1 0.4416 0.5584 0.2500
Cu2 0.5584 0.4416 0.7500
Te1 0.0820 0.9180 0.2500
Te2 0.9180 0.0820 0.7500
S1 0.3922 0.6078 0.0337
S2 0.3922 0.6078 0.4663
S3 0.6078 0.3922 0.5337
S4 0.6078 0.3922 0.9663

---

Among the records above, which one has the lowest total energy? NaCoCuTeS2